PBE+U LiY3WO8, relaxed; E = -105.9 eV for the cell shown
1.0
-3.556 2.894 4.333
-0.385 -6.088 -1.605
4.132 -1.402 4.328
Li Y W O
1 3 1 8
Direct
0.500 0.500 0.000
0.500 0.000 0.742
0.000 0.500 0.258
0.500 0.500 0.500
0.000 0.000 0.000
0.824 0.176 0.000
0.695 0.305 0.500
0.275 0.217 0.785
0.217 0.275 0.215
0.783 0.725 0.215
0.725 0.783 0.785
0.305 0.695 0.500
0.176 0.824 0.000